1.
Below is a relaxed B3MoPt crystal, with properties calculated at the PBE-GGA level.

abc: 4.097 4.097 4.097
angles: 90.00 90.00 90.00
Fractional coordinates of all 5 atoms:
B1 0.000 0.500 0.000
B2 0.500 0.000 0.000
B3 0.000 0.000 0.500
Mo1 0.000 0.000 0.000
Pt1 0.500 0.500 0.500

Summary:
Energy of formation = 1585 meV/atom
Energy above the lowest structure with this stoichiometry = 5.43 kJ per mole of atoms
Final energy = -29.0 eV/cell
Space group = Pm-3m, No. 221

=====

2.
Below is a relaxed B2MoPt crystal, with properties calculated at the PBE-GGA level.

abc: 4.749 4.749 6.012
angles: 66.74 66.74 90.00
Fractional coordinates of all 8 atoms:
B1 0.375 0.358 0.750
B2 0.642 0.125 0.250
B3 0.875 0.892 0.750
B4 0.108 0.625 0.250
Pt1 0.000 0.000 0.000
Pt2 0.750 0.250 0.500
Mo1 0.250 0.750 0.500
Mo2 0.500 0.500 0.000

Summary:
Energy of formation = 493 meV/atom
Energy above the lowest structure with this stoichiometry = 14.85 kJ per mole of atoms
Final energy = -56.5 eV/cell
Space group = I-42d, No. 122

=====

3.
Below is a relaxed B2Mo2Pt crystal, with properties calculated at the PBE-GGA level.

abc: 5.686 5.686 3.577
angles: 90.00 90.00 90.00
Fractional coordinates of all 10 atoms:
Pt1 0.000 0.000 0.000
Pt2 0.500 0.500 0.000
Mo1 0.331 0.169 0.500
Mo2 0.669 0.831 0.500
Mo3 0.831 0.331 0.500
Mo4 0.169 0.669 0.500
B1 0.391 0.891 0.000
B2 0.891 0.609 0.000
B3 0.109 0.391 0.000
B4 0.609 0.109 0.000

Summary:
Energy of formation = -341 meV/atom
Final energy = -85.5 eV/cell
Space group = P4/mbm, No. 127

=====

4.
Below is a relaxed BMo3Pt crystal, with properties calculated at the PBE-GGA level.

abc: 4.766 4.766 4.766
angles: 90.00 90.00 90.00
Fractional coordinates of all 5 atoms:
B1 0.500 0.500 0.500
Pt1 0.000 0.000 0.000
Mo1 0.000 0.000 0.500
Mo2 0.500 0.000 0.000
Mo3 0.000 0.500 0.000

Summary:
Energy of formation = 2610 meV/atom
Energy above the lowest structure with this stoichiometry = 250.14 kJ per mole of atoms
Final energy = -32.2 eV/cell
Space group = Pm-3m, No. 221

=====

5.
Below is a relaxed BMoPt3 crystal, with properties calculated at the PBE-GGA level.

abc: 4.836 4.836 4.836
angles: 90.00 90.00 90.00
Fractional coordinates of all 5 atoms:
Pt1 0.500 0.000 0.000
Pt2 0.000 0.500 0.000
Pt3 0.000 0.000 0.500
B1 0.500 0.500 0.500
Mo1 0.000 0.000 0.000

Summary:
Energy of formation = 1955 meV/atom
Energy above the lowest structure with this stoichiometry = 165.58 kJ per mole of atoms
Final energy = -25.9 eV/cell
Space group = Pm-3m, No. 221

=====

6.
Below is a relaxed Re2BMoPt crystal, with properties calculated at the PBE-GGA level.

abc: 4.161 4.062 4.161
angles: 90.00 90.00 90.00
Fractional coordinates of all 5 atoms:
Mo1 0.500 0.500 0.500
B1 0.000 0.000 0.000
Re1 0.500 0.000 0.000
Re2 0.000 0.000 0.500
Pt1 0.000 0.500 0.000

Summary:
Energy of formation = 193 meV/atom
Final energy = -47.5 eV/cell
Space group = P4/mmm, No. 123

=====

What DOS(E_F) values result from the calculations? In sequence: 1.59 0.86 0.47 1.33 0.87 0.97 states/eV/atom.